Density functional theory data (PBE) for a relaxed structure of Na2PH3O5.

a b c (Å): 5.7132 5.7744 8.0398
angles (deg): 104.06 109.18 100.88
With the nearest neighbours (Å) after each atom.
Positions (direct):
Na 0.0038 0.1557 0.2130  5 O 2.37-2.53
Na 0.2415 0.7808 0.4304  5 O 2.33-2.59
Na 0.7585 0.2192 0.5696  5 O 2.33-2.59
Na 0.9962 0.8443 0.7870  5 O 2.37-2.53
P 0.3672 0.4182 0.7073  4 O 1.53-1.64
P 0.6328 0.5818 0.2927  4 O 1.53-1.64
H 0.2524 0.3775 0.9444  1 O 1.02
H 0.3052 0.7885 0.1207  1 O 1.00
H 0.4391 0.0788 0.1663  1 O 0.99
H 0.5609 0.9212 0.8337  1 O 0.99
H 0.6948 0.2115 0.8793  1 O 1.00
H 0.7476 0.6225 0.0556  1 O 1.02
O 0.1980 0.2847 0.8059  1 H 1.02
O 0.2703 0.9458 0.1044  2 H 0.99-1.00
O 0.2844 0.6519 0.6892  1 P 1.54
O 0.2997 0.2163 0.5218  1 P 1.53
O 0.3406 0.5160 0.1657  1 P 1.56, 2 H 1.62-1.73
O 0.6594 0.4840 0.8343  1 P 1.56, 2 H 1.62-1.73
O 0.7003 0.7837 0.4782  1 P 1.53
O 0.7156 0.3481 0.3108  1 P 1.54
O 0.7297 0.0542 0.8956  2 H 0.99-1.00
O 0.8020 0.7153 0.1941  1 H 1.02

Summary:
magnetization = 0.0010 μB per atom

***

Density functional theory data (PBE) for a relaxed structure of Mo3WSe2S6.

a b c (Å): 3.2228 3.2228 28.8430
angles (deg): 90.00 90.00 120.00
With the nearest neighbours (Å) after each atom.
Positions (direct):
Mo 0.0000 0.0000 0.0000  6 S 2.42
Mo 0.0000 0.0000 0.4940  6 S 2.42
Mo 0.6667 0.3333 0.2484  6 S 2.42
W 0.6667 0.3333 0.7466  6 Se 2.53
Se 0.0000 0.0000 0.6869  3 W 2.53
Se 0.0000 0.0000 0.8062  3 W 2.53
S 0.0000 0.0000 0.1945  3 Mo 2.42
S 0.0000 0.0000 0.3023  3 Mo 2.42
S 0.6667 0.3333 0.0539  3 Mo 2.42
S 0.6667 0.3333 0.4401  3 Mo 2.42
S 0.6667 0.3333 0.5479  3 Mo 2.42
S 0.6667 0.3333 0.9461  3 Mo 2.42

Summary:
magnetization = 0.0000 μB per atom
E_form (uncorrected) = -0.7877 eV per atom

***

Density functional theory data (PBE) for a relaxed structure of CdAgAu4.

a b c (Å): 9.3856 2.8935 8.1986
angles (deg): 90.00 90.00 90.00
With the nearest neighbours (Å) after each atom.
Positions (direct):
Cd 0.2500 0.0000 0.0401  1 Ag 2.89, 2 Cd 2.89, 10 Au 3.04-3.18
Cd 0.7500 0.0000 0.9599  1 Ag 2.89, 2 Cd 2.89, 10 Au 3.04-3.18
Ag 0.2500 0.0000 0.6875  8 Au 2.81-3.01, 1 Cd 2.89, 2 Ag 2.89
Ag 0.7500 0.0000 0.3125  8 Au 2.81-3.01, 1 Cd 2.89, 2 Ag 2.89
Au 0.0000 0.0000 0.5000  2 Ag 2.81, 10 Au 2.89-3.05
Au 0.0114 0.5000 0.8276  6 Au 2.84-3.05, 2 Ag 2.90, 2 Cd 3.05
Au 0.2500 0.5000 0.3657  8 Au 2.89-2.97, 2 Ag 3.01, 2 Cd 3.04
Au 0.4886 0.5000 0.8276  6 Au 2.84-3.05, 2 Ag 2.90, 2 Cd 3.05
Au 0.5000 0.0000 0.5000  2 Ag 2.81, 10 Au 2.89-3.05
Au 0.5114 0.5000 0.1724  6 Au 2.84-3.05, 2 Ag 2.90, 2 Cd 3.05
Au 0.7500 0.5000 0.6343  8 Au 2.89-2.97, 2 Ag 3.01, 2 Cd 3.04
Au 0.9886 0.5000 0.1724  6 Au 2.84-3.05, 2 Ag 2.90, 2 Cd 3.05

Summary:
magnetization = 0.0000 μB per atom
formation enthalpy at 0 K = -52 meV/atom

***

Density functional theory data (PBE) for a relaxed structure of Ta2SiIr.

a b c (Å): 2.8740 2.8740 7.6238
angles (deg): 90.00 90.00 92.39
With the nearest neighbours (Å) after each atom.
Positions (direct):
Ta 0.0000 0.0000 0.2451  4 Si 2.73-2.79, 4 Ir 2.78-2.84, 4 Ta 2.87
Ta 0.0000 0.0000 0.7549  4 Si 2.73-2.79, 4 Ir 2.78-2.84, 4 Ta 2.87
Si 0.5000 0.5000 0.0000  8 Ta 2.73-2.79, 4 Si 2.87
Ir 0.5000 0.5000 0.5000  8 Ta 2.78-2.84, 4 Ir 2.87

Summary:
magnetization = 0.0000 μB per atom
E_form (uncorrected) = -0.4301 eV per atom

***

Raw total energy, record by record: -5.6532 -7.2194 -2.8649 -9.9274 eV/atom